No. 1
{"formula": "K3Pr3ZrTe8", "functional": "PBE", "state": "relaxed", "lattice_angstrom": [[4.5244, 2.6121, 8.4521], [-4.5244, 2.6121, 8.4521], [0.0000, -5.2243, 8.4521]], "species": ["K", "K", "K", "Pr", "Pr", "Pr", "Zr", "Te", "Te", "Te", "Te", "Te", "Te", "Te", "Te"], "fractional_positions": [[0.0000, 0.5000, 0.5000], [0.5000, 0.0000, 0.5000], [0.5000, 0.5000, 0.0000], [0.0000, 0.0000, 0.5000], [0.0000, 0.5000, 0.0000], [0.5000, 0.0000, 0.0000], [0.5000, 0.5000, 0.5000], [0.2392, 0.2392, 0.2392], [0.2574, 0.7230, 0.7230], [0.2770, 0.2770, 0.7426], [0.2770, 0.7426, 0.2770], [0.7230, 0.2574, 0.7230], [0.7230, 0.7230, 0.2574], [0.7426, 0.2770, 0.2770], [0.7608, 0.7608, 0.7608]], "formation_energy_uncorrected_mev_per_atom": -1285}

No. 2
{"formula": "CaHg2F8", "functional": "PBE", "state": "relaxed", "lattice_angstrom": [[-2.8546, 2.8546, 5.5164], [2.8546, -2.8546, 5.5164], [2.8546, 2.8546, -5.5164]], "species": ["Ca", "Hg", "Hg", "F", "F", "F", "F", "F", "F", "F", "F"], "fractional_positions": [[0.0000, 0.0000, 0.0000], [0.2500, 0.7500, 0.5000], [0.7500, 0.2500, 0.5000], [0.0569, 0.5849, 0.8904], [0.1665, 0.0569, 0.4720], [0.3056, 0.4151, 0.4720], [0.4151, 0.9431, 0.1096], [0.5849, 0.6944, 0.5280], [0.6944, 0.1665, 0.1096], [0.8335, 0.3056, 0.8904], [0.9431, 0.8335, 0.5280]], "polymorph_energy_mev_per_atom": 0, "formation_energy_uncorrected_mev_per_atom": -1864}

No. 3
{"formula": "PaTl2As3O12", "functional": "PBE", "state": "relaxed", "lattice_angstrom": [[3.4792, 2.0087, 6.2597], [-3.4792, 2.0087, 6.2597], [0.0000, -4.0175, 6.2597]], "species": ["Pa", "Tl", "Tl", "As", "As", "As", "O", "O", "O", "O", "O", "O", "O", "O", "O", "O", "O", "O"], "fractional_positions": [[0.0000, 0.0000, 0.0000], [0.3949, 0.3949, 0.3949], [0.6051, 0.6051, 0.6051], [0.0000, 0.0000, 0.5000], [0.0000, 0.5000, 0.0000], [0.5000, 0.0000, 0.0000], [0.0698, 0.0698, 0.6489], [0.0698, 0.6489, 0.0698], [0.0835, 0.6828, 0.6828], [0.3172, 0.3172, 0.9165], [0.3172, 0.9165, 0.3172], [0.3511, 0.9302, 0.9302], [0.6489, 0.0698, 0.0698], [0.6828, 0.0835, 0.6828], [0.6828, 0.6828, 0.0835], [0.9165, 0.3172, 0.3172], [0.9302, 0.3511, 0.9302], [0.9302, 0.9302, 0.3511]], "formation_energy_uncorrected_mev_per_atom": -1385}

- Which formula does entry 1 have?
  K3Pr3ZrTe8